A plane-wave DFT calculation with PBE was carried out for crystalline Er4Tm6Sc at its relaxed geometry.

Results
Formation energy from the elements in meV/atom: 298
SG: I-42m (121)

abc: 9.5378 9.5378 9.5378
angles: 140.73 140.73 56.74
Atoms (fractional coordinates):
Er: 0.1860 0.1860 0.6400
Er: 0.4540 0.8140 0.0000
Er: 0.5460 0.5460 0.3600
Er: 0.8140 0.4540 0.0000
Tm: 0.0000 0.5000 0.5000
Tm: 0.0154 0.6463 0.0000
Tm: 0.3537 0.3537 0.3692
Tm: 0.5000 0.0000 0.5000
Tm: 0.6463 0.0154 0.0000
Tm: 0.9846 0.9846 0.6308
Sc: 0.0000 0.0000 0.0000



A plane-wave DFT calculation with PBE was carried out for crystalline Er2Tm3Sc8 at its relaxed geometry.

Results
Formation energy from the elements in meV/atom: 284
SG: C2/m (12)

abc: 10.4684 10.4684 5.2042
angles: 90.04 90.04 39.76
Atoms (fractional coordinates):
Er: 0.2402 0.2402 0.4985
Er: 0.7598 0.7598 0.5015
Tm: 0.0000 0.0000 0.5000
Tm: 0.2835 0.7165 0.0000
Tm: 0.7165 0.2835 0.0000
Sc: 0.1311 0.1311 0.9996
Sc: 0.1809 0.6003 0.4995
Sc: 0.3362 0.3362 0.9988
Sc: 0.3997 0.8191 0.5005
Sc: 0.6003 0.1809 0.4995
Sc: 0.6638 0.6638 0.0012
Sc: 0.8191 0.3997 0.5005
Sc: 0.8689 0.8689 0.0004



A plane-wave DFT calculation with PBE was carried out for crystalline Er3TmSc8 at its relaxed geometry.

Results
Formation energy from the elements in meV/atom: 300
SG: Immm (71)

abc: 8.1462 8.1462 8.1462
angles: 137.45 99.23 95.91
Atoms (fractional coordinates):
Er: 0.0000 0.0000 0.0000
Er: 0.2508 0.5000 0.7508
Er: 0.7492 0.5000 0.2492
Tm: 0.5000 0.0000 0.5000
Sc: 0.0755 0.8254 0.2501
Sc: 0.2505 0.0009 0.7504
Sc: 0.2505 0.5001 0.2496
Sc: 0.4248 0.1746 0.2501
Sc: 0.5752 0.8254 0.7499
Sc: 0.7495 0.4999 0.7504
Sc: 0.7495 0.9991 0.2496
Sc: 0.9245 0.1746 0.7499



A plane-wave DFT calculation with PBE was carried out for crystalline YEr5TmSc2 at its relaxed geometry.

Results
Formation energy from the elements in meV/atom: 185
SG: Cmc2_1 (36)

abc: 10.1341 10.1341 10.2920
angles: 90.00 90.00 148.92
Atoms (fractional coordinates):
Y: 0.1951 0.8049 0.5000
Y: 0.8049 0.1951 0.0000
Er: 0.0134 0.9866 0.5091
Er: 0.2777 0.7223 0.7997
Er: 0.3017 0.6983 0.1962
Er: 0.3879 0.6121 0.5112
Er: 0.4778 0.5222 0.2254
Er: 0.5222 0.4778 0.7254
Er: 0.6121 0.3879 0.0112
Er: 0.6983 0.3017 0.6962
Er: 0.7223 0.2777 0.2997
Er: 0.9866 0.0134 0.0091
Tm: 0.4120 0.5880 0.9372
Tm: 0.5880 0.4120 0.4372
Sc: 0.1107 0.8893 0.2285
Sc: 0.1124 0.8876 0.7984
Sc: 0.8876 0.1124 0.2984
Sc: 0.8893 0.1107 0.7285



A plane-wave DFT calculation with PBE was carried out for crystalline Y2ErTmSc2 at its relaxed geometry.

Results
Formation energy from the elements in meV/atom: 71
SG: Pnnm (58)

abc: 6.8435 9.3640 5.4256
angles: 90.00 90.00 90.00
Atoms (fractional coordinates):
Y: 0.2503 0.1662 0.0000
Y: 0.2497 0.6662 0.5000
Y: 0.7503 0.3338 0.5000
Y: 0.7497 0.8338 0.0000
Er: 0.0000 0.0000 0.5000
Er: 0.5000 0.5000 0.0000
Tm: 0.0000 0.5000 0.0000
Tm: 0.5000 0.0000 0.5000
Sc: 0.2499 0.3328 0.5000
Sc: 0.2501 0.8328 0.0000
Sc: 0.7499 0.1672 0.0000
Sc: 0.7501 0.6672 0.5000



A plane-wave DFT calculation with PBE was carried out for crystalline YErTmSc at its relaxed geometry.

Results
Formation energy from the elements in meV/atom: 128
SG: F-43m (216)
Polymorph energy (0 for the lowest one) in eV/atom: 0.078

abc: 7.7958 7.7958 7.7958
angles: 90.00 90.00 90.00
Atoms (fractional coordinates):
Y: 0.0000 0.0000 0.0000
Y: 0.0000 0.5000 0.5000
Y: 0.5000 0.0000 0.5000
Y: 0.5000 0.5000 0.0000
Er: 0.0000 0.0000 0.5000
Er: 0.0000 0.5000 0.0000
Er: 0.5000 0.0000 0.0000
Er: 0.5000 0.5000 0.5000
Tm: 0.2500 0.2500 0.7500
Tm: 0.2500 0.7500 0.2500
Tm: 0.7500 0.2500 0.2500
Tm: 0.7500 0.7500 0.7500
Sc: 0.2500 0.2500 0.2500
Sc: 0.2500 0.7500 0.7500
Sc: 0.7500 0.2500 0.7500
Sc: 0.7500 0.7500 0.2500



A plane-wave DFT calculation with PBE was carried out for crystalline YErTm2Sc5 at its relaxed geometry.

Results
Formation energy from the elements in meV/atom: 169
SG: Cmc2_1 (36)

abc: 9.5925 9.5925 10.2947
angles: 90.00 90.00 147.92
Atoms (fractional coordinates):
Y: 0.2083 0.7917 0.5000
Y: 0.7917 0.2083 0.0000
Er: 0.4175 0.5825 0.9483
Er: 0.5825 0.4175 0.4483
Tm: 0.1073 0.8927 0.2224
Tm: 0.1127 0.8873 0.8140
Tm: 0.8873 0.1127 0.3140
Tm: 0.8927 0.1073 0.7224
Sc: 0.0216 0.9784 0.5217
Sc: 0.2869 0.7131 0.7888
Sc: 0.2990 0.7010 0.2009
Sc: 0.3991 0.6009 0.5127
Sc: 0.4780 0.5220 0.2238
Sc: 0.5220 0.4780 0.7238
Sc: 0.6009 0.3991 0.0127
Sc: 0.7010 0.2990 0.7009
Sc: 0.7131 0.2869 0.2888
Sc: 0.9784 0.0216 0.0217



A plane-wave DFT calculation with PBE was carried out for crystalline Y2Er2TmSc at its relaxed geometry.

Results
Formation energy from the elements in meV/atom: 275
SG: Pnnm (58)

abc: 6.4266 17.3060 3.3121
angles: 90.00 90.00 90.00
Atoms (fractional coordinates):
Y: 0.2444 0.1824 0.0000
Y: 0.2556 0.6824 0.5000
Y: 0.7444 0.3176 0.5000
Y: 0.7556 0.8176 0.0000
Er: 0.2429 0.3555 0.5000
Er: 0.2571 0.8555 0.0000
Er: 0.7429 0.1445 0.0000
Er: 0.7571 0.6445 0.5000
Tm: 0.0000 0.5000 0.0000
Tm: 0.5000 0.0000 0.5000
Sc: 0.0000 0.0000 0.0000
Sc: 0.5000 0.5000 0.5000